Record 1
Dy3Er3Tm5 (PBE, relaxed); space group = P-62m (189); ΔH_f (0 K) = 0.8356 eV/atom; crystal system = hexagonal
1.0
5.4294 0.0000 0.0000
0.0000 9.5615 0.0000
0.0000 -4.7808 8.2805
Dy Er Tm
3 3 5
direct
0.5000 0.7332 0.7332
0.5000 0.0000 0.2668
0.5000 0.2668 0.0000
0.0000 0.5442 0.5442
0.0000 0.4558 0.0000
0.0000 0.0000 0.4558
0.5000 0.3333 0.6667
0.5000 0.6667 0.3333
0.5000 0.3710 0.3710
0.5000 0.0000 0.6290
0.5000 0.6290 0.0000

Record 2
Dy6ErTm6 (PBE, relaxed); space group = Cmmm (65); ΔH_f (0 K) = 0.2296 eV/atom; crystal system = orthorhombic
1.0
-1.4702 5.7850 2.5649
-4.1307 -4.8103 1.4193
5.8684 -2.4298 8.8440
Dy Er Tm
6 1 6
direct
0.0000 0.0000 0.6684
0.0000 0.0000 0.3316
0.3552 0.6434 0.0000
0.6448 0.3566 0.0000
0.2630 0.7372 0.5000
0.7370 0.2628 0.5000
0.0000 0.0000 0.0000
0.0000 0.5000 0.7749
0.5000 0.0000 0.7753
0.5000 0.5000 0.6985
0.5000 0.0000 0.2247
0.0000 0.5000 0.2251
0.5000 0.5000 0.3015

Record 3
Dy5Er2Tm12 (PBE, relaxed); space group = C2/m (12); ΔH_f (0 K) = 0.1267 eV/atom; crystal system = monoclinic
1.0
-4.4863 -7.8562 -1.3518
5.9810 0.7829 6.5502
-6.2442 2.7022 5.0184
Dy Er Tm
5 2 12
direct
0.2311 0.4621 0.5721
0.2939 0.5877 0.9812
0.0000 0.0000 0.5000
0.7061 0.4123 0.0188
0.7689 0.5379 0.4279
0.6735 0.0000 0.0000
0.3265 0.0000 0.0000
0.9256 0.8513 0.1274
0.0305 0.7019 0.7594
0.6714 0.7019 0.7594
0.1792 0.7406 0.3326
0.5614 0.7406 0.3326
0.4436 0.8871 0.6656
0.5564 0.1129 0.3344
0.8208 0.2594 0.6674
0.4386 0.2594 0.6674
0.9695 0.2981 0.2406
0.3286 0.2981 0.2406
0.0744 0.1487 0.8726

Record 4
Dy12Er2Tm5 (PBE, relaxed); space group = P-1 (2); ΔH_f (0 K) = 0.0893 eV/atom; ΔE to the lowest computed polymorph = 0.000 eV per atom; crystal system = triclinic
1.0
-2.0051 -0.5164 -6.0837
5.4852 -7.4872 6.9401
-11.6261 0.6233 1.8858
Dy Er Tm
12 2 5
direct
0.1675 0.1116 0.2684
0.0337 0.7020 0.0753
0.6008 0.6308 0.8698
0.9851 0.6893 0.3574
0.3320 0.5554 0.4591
0.4087 0.9349 0.6369
0.5913 0.0651 0.3631
0.0149 0.3107 0.6426
0.6680 0.4446 0.5409
0.9663 0.2980 0.9247
0.3992 0.3692 0.1302
0.8325 0.8884 0.7316
0.7172 0.9824 0.0401
0.2828 0.0176 0.9599
0.1826 0.6722 0.7831
0.5150 0.7107 0.2003
0.0000 0.0000 0.5000
0.4850 0.2893 0.7997
0.8174 0.3278 0.2169

Q: ΔH_f (0 K) of number 4 (Dy12Er2Tm5)?
A: 0.0893 eV/atom

Q: Which formula does entry 1 have?
A: Dy3Er3Tm5

Q: Which value of ΔH_f (0 K) does entry 4 give?
A: 0.0893 eV/atom